Here is a geometry-optimized AsSe structure from Alexandria via LeMat-Bulk. Energies are from PBE-GGA.

Computed properties:
Space-group type ... F-43m
Density of states at the Fermi level ... 1.21 states/eV per atom
ΔE_f (raw) ... 0.372 eV per atom
E_tot ... -3.70 eV per atom

a b c (Å): 4.4107 4.4107 4.4107
angles (deg): 60.00 60.00 60.00
Sites, in units of the cell vectors:
As  0.0000  0.0000  0.0000
Se  0.7500  0.7500  0.7500

---

Here is a geometry-optimized AsSe structure from Alexandria via LeMat-Bulk. Energies are from PBE-GGA.

Computed properties:
Space-group type ... Amm2
Density of states at the Fermi level ... 0.26 states/eV per atom
ΔE_f (raw) ... 0.040 eV per atom
E_tot ... -4.03 eV per atom

a b c (Å): 3.5005 18.8602 5.3905
angles (deg): 90.00 90.00 90.00
Sites, in units of the cell vectors:
Se  0.0000  0.8538  0.2460
Se  0.0000  0.3538  0.7460
Se  0.0000  0.6462  0.7460
Se  0.0000  0.1462  0.2460
As  0.5000  0.2363  0.2052
As  0.5000  0.0000  0.3978
Se  0.0000  0.5000  0.2019
As  0.5000  0.2637  0.7052
As  0.5000  0.5000  0.8978
As  0.5000  0.7637  0.2052
As  0.5000  0.7363  0.7052
Se  0.0000  0.0000  0.7019

---

Here is a geometry-optimized AsSe structure from Alexandria via LeMat-Bulk. Energies are from PBE-GGA.

Computed properties:
Space-group type ... P6_3/mmc
Density of states at the Fermi level ... 0.45 states/eV per atom
ΔE_f (raw) ... 0.573 eV per atom
E_tot ... -3.49 eV per atom

a b c (Å): 4.9162 4.9162 9.7084
angles (deg): 90.00 90.00 120.00
Sites, in units of the cell vectors:
Se  0.0000  0.0000  0.7500
As  0.6667  0.3333  0.6300
As  0.3333  0.6667  0.3700
As  0.6667  0.3333  0.8700
As  0.3333  0.6667  0.1300
Se  0.3333  0.6667  0.7500
Se  0.6667  0.3333  0.2500
Se  0.0000  0.0000  0.2500